No. 1
First-principles (PBE) data for a geometry-optimized Tm2ZnInGa structure, as listed in Alexandria via LeMat-Bulk.

Its total magnetization is 0.00 μB/atom. As for the electronic total energy: -0.1315 hartree per atom. The value obtained for the formation energy is -0.38 eV per atom.

Cell lengths 7.175, 4.459, 7.447 Å; angles 90.00, 107.10, 90.00 degrees
Space group P2_1/m (No. 11)
Unique sites:
Tm1 0.139 0.250 0.369 x2
Tm2 0.307 0.250 0.950 x2
Zn1 0.088 0.750 0.056 x2
In1 0.331 0.750 0.658 x2
Ga1 0.419 0.750 0.290 x2

=====

No. 2
First-principles (PBE) data for a geometry-optimized Cs3CeBi2S6 structure, as listed in Alexandria via LeMat-Bulk.

Its total magnetization is 0.08 μB/atom. As for the electronic total energy: -0.1658 hartree per atom.

Cell lengths 7.370, 12.761, 8.419 Å; angles 90.00, 106.96, 90.00 degrees
Space group C2/m (No. 12)
Unique sites:
Cs1 0.000 0.000 0.000 x2
Cs2 0.000 0.332 0.000 x4
Ce1 0.000 0.500 0.500 x2
Bi1 0.000 0.166 0.500 x4
S1 0.229 0.334 0.688 x8
S2 0.230 0.000 0.688 x4

=====

No. 3
First-principles (PBE) data for a geometry-optimized Ac2CuSe3 structure, as listed in Alexandria via LeMat-Bulk.

Its total magnetization is 0.00 μB/atom. As for the electronic total energy: -0.1946 hartree per atom.

Cell lengths 4.243, 4.633, 17.067 Å; angles 90.00, 90.00, 90.00 degrees
Space group Immm (No. 71)
Unique sites:
Ac1 0.000 0.000 0.138 x4
Cu1 0.000 0.000 0.500 x2
Se1 0.000 0.000 0.325 x4
Se2 0.000 0.500 0.500 x2

=====

No. 4
First-principles (PBE) data for a geometry-optimized PmPrNdSm2 structure, as listed in Alexandria via LeMat-Bulk.

Its total magnetization is 0.00 μB/atom. As for the electronic total energy: -0.1652 hartree per atom. The value obtained for the formation energy is 0.25 eV per atom.

Cell lengths 8.379, 6.763, 6.303 Å; angles 90.00, 90.31, 90.00 degrees
Space group P2/c (No. 13)
Unique sites:
Pm1 0.000 0.073 0.250 x2
Pr1 0.000 0.500 0.000 x2
Nd1 0.500 0.337 0.250 x2
Sm1 0.306 0.191 0.748 x4

=====

No. 5
First-principles (PBE) data for a geometry-optimized CaSbF6 structure, as listed in Alexandria via LeMat-Bulk.

Its total magnetization is 0.10 μB/atom. As for the electronic total energy: -0.1831 hartree per atom.

Cell lengths 5.597, 8.627, 5.497 Å; angles 90.00, 101.36, 90.00 degrees
Space group C2/m (No. 12)
Unique sites:
Ca1 0.000 0.000 0.000 x2
Sb1 0.000 0.500 0.500 x2
F1 0.211 0.346 0.739 x8
F2 0.244 0.000 0.721 x4

=====

No. 6
First-principles (PBE) data for a geometry-optimized BiPCl structure, as listed in Alexandria via LeMat-Bulk.

Its total magnetization is 0.00 μB/atom. As for the electronic total energy: -0.1501 hartree per atom.

Cell lengths 3.375, 5.206, 9.493 Å; angles 105.11, 90.18, 108.64 degrees
Space group P-1 (No. 2)
Unique sites:
Bi1 0.043 0.090 0.249 x2
P1 0.179 0.356 0.006 x2
Cl1 0.174 0.336 0.620 x2

=====

No. 7
First-principles (PBE) data for a geometry-optimized Pu2Mg3MnN6 structure, as listed in Alexandria via LeMat-Bulk.

Its total magnetization is 0.92 μB/atom. As for the electronic total energy: -0.3139 hartree per atom.

Cell lengths 5.615, 9.799, 5.490 Å; angles 90.00, 109.26, 90.00 degrees
Space group C2/m (No. 12)
Unique sites:
Pu1 0.000 0.167 0.000 x4
Mg1 0.000 0.000 0.500 x2
Mg2 0.000 0.343 0.500 x4
Mn1 0.000 0.500 0.000 x2
N1 0.242 0.338 0.242 x8
N2 0.245 0.500 0.762 x4

=====

No. 8
First-principles (PBE) data for a geometry-optimized ZnCoH2 structure, as listed in Alexandria via LeMat-Bulk.

Its total magnetization is 0.00 μB/atom. As for the electronic total energy: -0.1338 hartree per atom.

Cell lengths 3.840, 3.840, 8.540 Å; angles 90.00, 90.00, 90.00 degrees
Space group I-42d (No. 122)
Unique sites:
Zn1 0.000 0.000 0.000 x4
Co1 0.000 0.000 0.500 x4
H1 0.180 0.250 0.625 x8